First-principles (GGA-PBE) data for an optimized crystal structure of GdNbN2O, as listed in OQMD via LeMat-Bulk.

Geometry as extended XYZ:
```
10
Lattice="5.494 0.000 0.000 -2.726 4.855 0.000 -2.648 -1.693 5.038" Properties=species:S:1:pos:R:3 pbc="T T T"
Gd 0.000 0.000 0.000
Gd 0.013 3.200 0.984
Nb -2.629 1.738 2.690
Nb 0.150 -0.024 3.339
N -0.895 1.233 1.867
N -2.003 3.068 4.158
N 1.289 1.265 4.204
N 2.242 3.236 1.710
O -1.582 0.160 4.302
O 1.716 0.146 1.826
```

Computed properties:
Uncorrected energy in eV/atom: -8.993
Space-group type: P1